# Ni5Sn2Pb, optimized geometry, DFT PBE-GGA
# Final energy = -39.58 eV/f.u.
# Magnetization = 0.0 μB per cell
data_Ni5Sn2Pb
_symmetry_space_group_name_H-M 'A m m 2'
_symmetry_Int_Tables_number 38
_cell_length_a 4.264
_cell_length_b 6.547
_cell_length_c 8.553
_cell_angle_alpha 90.00
_cell_angle_beta 90.00
_cell_angle_gamma 90.00
loop_
_symmetry_equiv_pos_as_xyz
'x,y,z'
'-x,-y,z'
'-x,y,z'
'x,-y,z'
'x,y+1/2,z+1/2'
'-x,-y+1/2,z+1/2'
'-x,y+1/2,z+1/2'
'x,-y+1/2,z+1/2'
loop_
_atom_site_label
_atom_site_fract_x
_atom_site_fract_y
_atom_site_fract_z
Ni1 0.000 0.000 0.000
Ni2 0.000 0.230 0.252
Ni3 0.500 0.201 0.492
Sn1 0.000 0.000 0.507
Sn2 0.500 0.000 0.198
Pb1 0.500 0.000 0.792